Here is a relaxed structure of Ac5La5Er2 from the Alexandria database. Energies are from PBE.

a b c (Å): 8.520 8.520 12.024
angles (deg): 115.08 115.08 36.91
Sites, in units of the cell vectors:
1 Ac 0.000 0.000 0.000
2 Ac 0.161 0.161 0.496
3 Ac 0.253 0.253 0.247
4 Ac 0.747 0.747 0.753
5 Ac 0.839 0.839 0.504
6 La 0.333 0.333 0.001
7 La 0.422 0.422 0.753
8 La 0.500 0.500 0.500
9 La 0.578 0.578 0.247
10 La 0.667 0.667 0.999
11 Er 0.085 0.085 0.756
12 Er 0.915 0.915 0.244

Computed properties:
**ΔE_f**: 37 meV/atom
**VASP energy**: -4.489 eV/atom